An optimized crystal structure of MgFe2Os, computed with PBEsol.

Unit cell a=2.981 b=4.195 c=4.862 alpha=115.55 beta=107.85 gamma=90.00
Atoms (fractional coordinates):
Fe1 0.260 0.260 0.520
Os1 0.000 0.500 0.000
Mg1 0.500 0.000 0.000
Fe2 0.740 0.740 0.480

## Properties
Uncorrected energy (eV/atom): -7.6110
Space-group type: Immm (71)
E_form (kcal/mol of atoms): 8.164
N(E_F) (states/eV per cell): 4.93
Mass density (g cm⁻³): 10.502


An optimized crystal structure of MgFeOs2, computed with PBEsol.

Unit cell a=2.672 b=2.672 c=7.677 alpha=90.00 beta=90.00 gamma=90.00
Atoms (fractional coordinates):
Mg1 0.500 0.500 0.500
Os1 0.000 0.000 0.221
Fe1 0.500 0.500 0.000
Os2 0.000 0.000 0.779

## Properties
Uncorrected energy (eV/atom): -8.5289
Space-group type: P4/mmm (123)
E_form (kcal/mol of atoms): 5.748
N(E_F) (states/eV per cell): 3.73
Mass density (g cm⁻³): 13.955


An optimized crystal structure of MgFeP, computed with PBEsol.

Unit cell a=3.955 b=3.955 c=3.955 alpha=60.00 beta=60.00 gamma=60.00
Atoms (fractional coordinates):
Mg1 0.500 0.500 0.500
P1 0.750 0.750 0.750
Fe1 0.000 0.000 0.000

## Properties
Uncorrected energy (eV/atom): -5.6171
Space-group type: F-43m (216)
E_form (kcal/mol of atoms): -2.915
N(E_F) (states/eV per cell): 2.27
Mass density (g cm⁻³): 4.220


An optimized crystal structure of MgFeP2, computed with PBEsol.

Unit cell a=4.170 b=4.170 c=4.170 alpha=60.00 beta=60.00 gamma=60.00
Atoms (fractional coordinates):
P1 0.750 0.750 0.750
Mg1 0.250 0.250 0.250
P2 0.000 0.000 0.000
Fe1 0.500 0.500 0.500

## Properties
Uncorrected energy (eV/atom): -5.2325
Space-group type: F-43m (216)
E_form (kcal/mol of atoms): 7.689
N(E_F) (states/eV per cell): 0.83
Mass density (g cm⁻³): 4.603